ZrU4 | PBE-GGA | relaxed

DFT total energy ... -9.113 eV/atom

a b c (Å): 5.2389 5.2389 5.2389
angles (deg): 90.00 90.00 90.00
With the nearest neighbours (Å) after each atom.
Element x y z (fractional)
Zr (0.0000, 0.0000, 0.0000)  6 U 2.62
U (0.0000, 0.0000, 0.5000)  2 Zr 2.62
U (0.0000, 0.5000, 0.0000)  2 Zr 2.62
U (0.5000, 0.0000, 0.0000)  2 Zr 2.62
U (0.5000, 0.5000, 0.5000)  12 U 3.70

---

V | PBE-GGA | relaxed

DFT total energy ... -8.850 eV/atom

a b c (Å): 8.7815 8.7815 2.9401
angles (deg): 90.00 90.00 90.00
With the nearest neighbours (Å) after each atom.
Element x y z (fractional)
V (0.0000, 0.3299, 0.0000)  8 V 2.53-2.57
V (0.0000, 0.6701, 0.0000)  8 V 2.53-2.57
V (0.1523, 0.1523, 0.5000)  6 V 2.53-2.68
V (0.1523, 0.8477, 0.5000)  6 V 2.53-2.68
V (0.1701, 0.5000, 0.5000)  8 V 2.53-2.57
V (0.3299, 0.0000, 0.0000)  8 V 2.53-2.57
V (0.3477, 0.3477, 0.0000)  6 V 2.53-2.68
V (0.3477, 0.6523, 0.0000)  6 V 2.53-2.68
V (0.5000, 0.1701, 0.5000)  8 V 2.53-2.57
V (0.5000, 0.8299, 0.5000)  8 V 2.53-2.57
V (0.6523, 0.3477, 0.0000)  6 V 2.53-2.68
V (0.6523, 0.6523, 0.0000)  6 V 2.53-2.68
V (0.6701, 0.0000, 0.0000)  8 V 2.53-2.57
V (0.8299, 0.5000, 0.5000)  8 V 2.53-2.57
V (0.8477, 0.1523, 0.5000)  6 V 2.53-2.68
V (0.8477, 0.8477, 0.5000)  6 V 2.53-2.68

---

V | PBE-GGA | relaxed

DFT total energy ... -9.033 eV/atom

a b c (Å): 2.4739 4.9221 8.9440
angles (deg): 90.00 90.00 90.00
With the nearest neighbours (Å) after each atom.
Element x y z (fractional)
V (0.0177, 0.0020, 0.2500)  6 V 2.46-2.75
V (0.0177, 0.4980, 0.7500)  6 V 2.46-2.75
V (0.4217, 0.7500, 0.0000)  8 V 2.47-2.77
V (0.4217, 0.7500, 0.5000)  8 V 2.47-2.77
V (0.5783, 0.2500, 0.0000)  8 V 2.47-2.77
V (0.5783, 0.2500, 0.5000)  8 V 2.47-2.77
V (0.9823, 0.5020, 0.2500)  6 V 2.46-2.75
V (0.9823, 0.9980, 0.7500)  6 V 2.46-2.75

---

V | PBE-GGA | relaxed

DFT total energy ... -8.794 eV/atom

a b c (Å): 7.2002 7.2002 4.4608
angles (deg): 90.00 90.00 90.00
With the nearest neighbours (Å) after each atom.
Element x y z (fractional)
V (0.0320, 0.3200, 0.0000)  7 V 2.42-2.69
V (0.1328, 0.8002, 0.5000)  6 V 2.42-2.67
V (0.1800, 0.4680, 0.5000)  7 V 2.42-2.69
V (0.1998, 0.1328, 0.5000)  6 V 2.42-2.67
V (0.3002, 0.6328, 0.0000)  6 V 2.42-2.67
V (0.3200, 0.9680, 0.0000)  7 V 2.42-2.69
V (0.3672, 0.3002, 0.0000)  6 V 2.42-2.67
V (0.4680, 0.8200, 0.5000)  7 V 2.42-2.69
V (0.5320, 0.1800, 0.5000)  7 V 2.42-2.69
V (0.6328, 0.6998, 0.0000)  6 V 2.42-2.67
V (0.6800, 0.0320, 0.0000)  7 V 2.42-2.69
V (0.6998, 0.3672, 0.0000)  6 V 2.42-2.67
V (0.8002, 0.8672, 0.5000)  6 V 2.42-2.67
V (0.8200, 0.5320, 0.5000)  7 V 2.42-2.69
V (0.8672, 0.1998, 0.5000)  6 V 2.42-2.67
V (0.9680, 0.6800, 0.0000)  7 V 2.42-2.69

---

V | PBE-GGA | relaxed

DFT total energy ... -6.821 eV/atom

a b c (Å): 5.4784 5.4784 5.4784
angles (deg): 90.00 90.00 90.00
With the nearest neighbours (Å) after each atom.
Element x y z (fractional)
V (0.1250, 0.1250, 0.1250)  4 V 2.37
V (0.1250, 0.6250, 0.6250)  4 V 2.37
V (0.3750, 0.3750, 0.8750)  4 V 2.37
V (0.3750, 0.8750, 0.3750)  4 V 2.37
V (0.6250, 0.1250, 0.6250)  4 V 2.37
V (0.6250, 0.6250, 0.1250)  4 V 2.37
V (0.8750, 0.3750, 0.3750)  4 V 2.37
V (0.8750, 0.8750, 0.8750)  4 V 2.37

---

V | PBE-GGA | relaxed

DFT total energy ... -8.827 eV/atom

a b c (Å): 2.6059 2.6059 4.7123
angles (deg): 90.00 90.00 120.00
With the nearest neighbours (Å) after each atom.
Element x y z (fractional)
V (0.3333, 0.6667, 0.2500)  12 V 2.61-2.80
V (0.6667, 0.3333, 0.7500)  12 V 2.61-2.80

---

V | PBE-GGA | relaxed

DFT total energy ... -9.119 eV/atom

a b c (Å): 3.0034 3.0034 3.0034
angles (deg): 90.00 90.00 90.00
With the nearest neighbours (Å) after each atom.
Element x y z (fractional)
V (0.0000, 0.0000, 0.0000)  8 V 2.60
V (0.5000, 0.5000, 0.5000)  8 V 2.60

---

V | PBE-GGA | relaxed

DFT total energy ... -8.951 eV/atom

a b c (Å): 4.4488 4.4488 2.3884
angles (deg): 90.00 90.00 120.00
With the nearest neighbours (Å) after each atom.
Element x y z (fractional)
V (0.0000, 0.0000, 0.0000)  2 V 2.39
V (0.3333, 0.6667, 0.5000)  5 V 2.39-2.57
V (0.6667, 0.3333, 0.5000)  5 V 2.39-2.57

---

V | PBE-GGA | relaxed

DFT total energy ... -8.981 eV/atom

a b c (Å): 4.9521 4.9521 7.8152
angles (deg): 90.00 90.00 120.00
With the nearest neighbours (Å) after each atom.
Element x y z (fractional)
V (0.0000, 0.0000, 0.0000)  6 V 2.45
V (0.0000, 0.0000, 0.5000)  6 V 2.45
V (0.1714, 0.3428, 0.2500)  6 V 2.41-2.55
V (0.1714, 0.8286, 0.2500)  6 V 2.41-2.55
V (0.3333, 0.6667, 0.5625)  16 V 2.81-3.02
V (0.3333, 0.6667, 0.9375)  16 V 2.81-3.02
V (0.3428, 0.1714, 0.7500)  6 V 2.41-2.55
V (0.6572, 0.8286, 0.2500)  6 V 2.41-2.55
V (0.6667, 0.3333, 0.0625)  16 V 2.81-3.02
V (0.6667, 0.3333, 0.4375)  16 V 2.81-3.02
V (0.8286, 0.1714, 0.7500)  6 V 2.41-2.55
V (0.8286, 0.6572, 0.7500)  6 V 2.41-2.55

---

V | PBE-GGA | relaxed

DFT total energy ... -7.166 eV/atom

a b c (Å): 7.1484 7.1484 7.1484
angles (deg): 90.00 90.00 90.00
With the nearest neighbours (Å) after each atom.
Element x y z (fractional)
V (0.1250, 0.1250, 0.8750)  1 V 1.88
V (0.1250, 0.8750, 0.1250)  1 V 1.88
V (0.2228, 0.2228, 0.2228)  1 V 1.88
V (0.2228, 0.7772, 0.7772)  1 V 1.88
V (0.2772, 0.2772, 0.7228)  1 V 1.88
V (0.2772, 0.7228, 0.2772)  1 V 1.88
V (0.3750, 0.3750, 0.3750)  1 V 1.88
V (0.3750, 0.6250, 0.6250)  1 V 1.88
V (0.6250, 0.3750, 0.6250)  1 V 1.88
V (0.6250, 0.6250, 0.3750)  1 V 1.88
V (0.7228, 0.2772, 0.2772)  1 V 1.88
V (0.7228, 0.7228, 0.7228)  1 V 1.88
V (0.7772, 0.2228, 0.7772)  1 V 1.88
V (0.7772, 0.7772, 0.2228)  1 V 1.88
V (0.8750, 0.1250, 0.1250)  1 V 1.88
V (0.8750, 0.8750, 0.8750)  1 V 1.88

---

V | PBE-GGA | relaxed

DFT total energy ... -6.624 eV/atom

a b c (Å): 6.6893 6.6893 6.6893
angles (deg): 90.00 90.00 90.00
With the nearest neighbours (Å) after each atom.
Element x y z (fractional)
V (0.0000, 0.2500, 0.5000)  4 V 2.37
V (0.0000, 0.5000, 0.2500)  4 V 2.37
V (0.0000, 0.5000, 0.7500)  4 V 2.37
V (0.0000, 0.7500, 0.5000)  4 V 2.37
V (0.2500, 0.0000, 0.5000)  4 V 2.37
V (0.2500, 0.5000, 0.0000)  4 V 2.37
V (0.5000, 0.0000, 0.2500)  4 V 2.37
V (0.5000, 0.0000, 0.7500)  4 V 2.37
V (0.5000, 0.2500, 0.0000)  4 V 2.37
V (0.5000, 0.7500, 0.0000)  4 V 2.37
V (0.7500, 0.0000, 0.5000)  4 V 2.37
V (0.7500, 0.5000, 0.0000)  4 V 2.37

---

V | PBE-GGA | relaxed

DFT total energy ... -8.238 eV/atom

a b c (Å): 2.4564 2.4564 2.4564
angles (deg): 90.00 90.00 90.00
With the nearest neighbours (Å) after each atom.
Element x y z (fractional)
V (0.0000, 0.0000, 0.0000)  6 V 2.46

---

V | PBE-GGA | relaxed

DFT total energy ... -8.434 eV/atom

a b c (Å): 4.8209 4.8209 2.5005
angles (deg): 90.00 90.00 90.00
With the nearest neighbours (Å) after each atom.
Element x y z (fractional)
V (0.1987, 0.3013, 0.0000)  7 V 2.46-2.71
V (0.3013, 0.8013, 0.0000)  7 V 2.46-2.71
V (0.6987, 0.1987, 0.0000)  7 V 2.46-2.71
V (0.8013, 0.6987, 0.0000)  7 V 2.46-2.71

---

V | PBE-GGA | relaxed

DFT total energy ... -7.088 eV/atom

a b c (Å): 10.0848 10.0848 10.0848
angles (deg): 90.00 90.00 90.00
With the nearest neighbours (Å) after each atom.
Element x y z (fractional)
V (0.0000, 0.1005, 0.3526)  2 V 2.03-2.12
V (0.0000, 0.1005, 0.6474)  2 V 2.03-2.12
V (0.0000, 0.2500, 0.5000)  4 V 2.12
V (0.0000, 0.7500, 0.5000)  4 V 2.12
V (0.0000, 0.8995, 0.3526)  2 V 2.03-2.12
V (0.0000, 0.8995, 0.6474)  2 V 2.03-2.12
V (0.1005, 0.3526, 0.0000)  2 V 2.03-2.12
V (0.1005, 0.6474, 0.0000)  2 V 2.03-2.12
V (0.1187, 0.1187, 0.1187)  6 V 2.39-2.65
V (0.1187, 0.1187, 0.8813)  6 V 2.39-2.65
V (0.1187, 0.8813, 0.1187)  6 V 2.39-2.65
V (0.1187, 0.8813, 0.8813)  6 V 2.39-2.65
V (0.1474, 0.3995, 0.5000)  2 V 2.03-2.12
V (0.1474, 0.6005, 0.5000)  2 V 2.03-2.12
V (0.2500, 0.5000, 0.0000)  4 V 2.12
V (0.3526, 0.0000, 0.1005)  2 V 2.03-2.12
V (0.3526, 0.0000, 0.8995)  2 V 2.03-2.12
V (0.3813, 0.3813, 0.3813)  6 V 2.39-2.65
V (0.3813, 0.3813, 0.6187)  6 V 2.39-2.65
V (0.3813, 0.6187, 0.3813)  6 V 2.39-2.65
V (0.3813, 0.6187, 0.6187)  6 V 2.39-2.65
V (0.3995, 0.5000, 0.1474)  2 V 2.03-2.12
V (0.3995, 0.5000, 0.8526)  2 V 2.03-2.12
V (0.5000, 0.0000, 0.2500)  4 V 2.12
V (0.5000, 0.0000, 0.7500)  4 V 2.12
V (0.5000, 0.1474, 0.3995)  2 V 2.03-2.12
V (0.5000, 0.1474, 0.6005)  2 V 2.03-2.12
V (0.5000, 0.8526, 0.3995)  2 V 2.03-2.12
V (0.5000, 0.8526, 0.6005)  2 V 2.03-2.12
V (0.6005, 0.5000, 0.1474)  2 V 2.03-2.12
V (0.6005, 0.5000, 0.8526)  2 V 2.03-2.12
V (0.6187, 0.3813, 0.3813)  6 V 2.39-2.65
V (0.6187, 0.3813, 0.6187)  6 V 2.39-2.65
V (0.6187, 0.6187, 0.3813)  6 V 2.39-2.65
V (0.6187, 0.6187, 0.6187)  6 V 2.39-2.65
V (0.6474, 0.0000, 0.1005)  2 V 2.03-2.12
V (0.6474, 0.0000, 0.8995)  2 V 2.03-2.12
V (0.7500, 0.5000, 0.0000)  4 V 2.12
V (0.8526, 0.3995, 0.5000)  2 V 2.03-2.12
V (0.8526, 0.6005, 0.5000)  2 V 2.03-2.12
V (0.8813, 0.1187, 0.1187)  6 V 2.39-2.65
V (0.8813, 0.1187, 0.8813)  6 V 2.39-2.65
V (0.8813, 0.8813, 0.1187)  6 V 2.39-2.65
V (0.8813, 0.8813, 0.8813)  6 V 2.39-2.65
V (0.8995, 0.3526, 0.0000)  2 V 2.03-2.12
V (0.8995, 0.6474, 0.0000)  2 V 2.03-2.12

---

V | PBE-GGA | relaxed

DFT total energy ... -8.803 eV/atom

a b c (Å): 9.0287 9.0287 2.4497
angles (deg): 90.00 90.00 120.00
With the nearest neighbours (Å) after each atom.
Element x y z (fractional)
V (0.0751, 0.7765, 0.2500)  7 V 2.45-2.72
V (0.1505, 0.5329, 0.7500)  5 V 2.45-2.56
V (0.2235, 0.2986, 0.2500)  7 V 2.45-2.72
V (0.2986, 0.0751, 0.7500)  7 V 2.45-2.72
V (0.3824, 0.8495, 0.7500)  5 V 2.45-2.56
V (0.4671, 0.6176, 0.7500)  5 V 2.45-2.56
V (0.5329, 0.3824, 0.2500)  5 V 2.45-2.56
V (0.6176, 0.1505, 0.2500)  5 V 2.45-2.56
V (0.7014, 0.9249, 0.2500)  7 V 2.45-2.72
V (0.7765, 0.7014, 0.7500)  7 V 2.45-2.72
V (0.8495, 0.4671, 0.2500)  5 V 2.45-2.56
V (0.9249, 0.2235, 0.7500)  7 V 2.45-2.72

---

V | PBE-GGA | relaxed

DFT total energy ... -8.842 eV/atom

a b c (Å): 2.6345 2.6345 9.2194
angles (deg): 90.00 90.00 120.00
With the nearest neighbours (Å) after each atom.
Element x y z (fractional)
V (0.0000, 0.0000, 0.0000)  12 V 2.63-2.76
V (0.0000, 0.0000, 0.5000)  12 V 2.63-2.76
V (0.3333, 0.6667, 0.2500)  12 V 2.63-2.76
V (0.6667, 0.3333, 0.7500)  12 V 2.63-2.76

---

V | PBE-GGA | relaxed

DFT total energy ... -8.882 eV/atom

a b c (Å): 3.8171 3.8171 3.8171
angles (deg): 90.00 90.00 90.00
With the nearest neighbours (Å) after each atom.
Element x y z (fractional)
V (0.0000, 0.0000, 0.0000)  12 V 2.70
V (0.0000, 0.5000, 0.5000)  12 V 2.70
V (0.5000, 0.0000, 0.5000)  12 V 2.70
V (0.5000, 0.5000, 0.0000)  12 V 2.70

---

V | PBE-GGA | relaxed

DFT total energy ... -9.035 eV/atom

a b c (Å): 4.7890 4.7890 4.7890
angles (deg): 90.00 90.00 90.00
With the nearest neighbours (Å) after each atom.
Element x y z (fractional)
V (0.0000, 0.0000, 0.0000)  12 V 2.68
V (0.0000, 0.2500, 0.5000)  6 V 2.39-2.68
V (0.0000, 0.7500, 0.5000)  6 V 2.39-2.68
V (0.2500, 0.5000, 0.0000)  6 V 2.39-2.68
V (0.5000, 0.0000, 0.2500)  6 V 2.39-2.68
V (0.5000, 0.0000, 0.7500)  6 V 2.39-2.68
V (0.5000, 0.5000, 0.5000)  12 V 2.68
V (0.7500, 0.5000, 0.0000)  6 V 2.39-2.68

---

V | PBE-GGA | relaxed

DFT total energy ... -8.618 eV/atom

a b c (Å): 4.9966 4.9966 9.1670
angles (deg): 90.00 90.00 90.00
With the nearest neighbours (Å) after each atom.
Element x y z (fractional)
V (0.1788, 0.0712, 0.1250)  7 V 2.40-2.60
V (0.1788, 0.4288, 0.6250)  7 V 2.40-2.60
V (0.1788, 0.5712, 0.8750)  7 V 2.40-2.60
V (0.1788, 0.9288, 0.3750)  7 V 2.40-2.60
V (0.3212, 0.0712, 0.8750)  7 V 2.40-2.60
V (0.3212, 0.4288, 0.3750)  7 V 2.40-2.60
V (0.3212, 0.5712, 0.1250)  7 V 2.40-2.60
V (0.3212, 0.9288, 0.6250)  7 V 2.40-2.60
V (0.6788, 0.0712, 0.3750)  7 V 2.40-2.60
V (0.6788, 0.4288, 0.8750)  7 V 2.40-2.60
V (0.6788, 0.5712, 0.6250)  7 V 2.40-2.60
V (0.6788, 0.9288, 0.1250)  7 V 2.40-2.60
V (0.8212, 0.0712, 0.6250)  7 V 2.40-2.60
V (0.8212, 0.4288, 0.1250)  7 V 2.40-2.60
V (0.8212, 0.5712, 0.3750)  7 V 2.40-2.60
V (0.8212, 0.9288, 0.8750)  7 V 2.40-2.60

---

V | PBE-GGA | relaxed

DFT total energy ... -8.974 eV/atom

a b c (Å): 2.4566 4.9728 4.6269
angles (deg): 90.00 105.25 90.00
With the nearest neighbours (Å) after each atom.
Element x y z (fractional)
V (0.0000, 0.1244, 0.2500)  6 V 2.46-2.63
V (0.0000, 0.8756, 0.7500)  6 V 2.46-2.63
V (0.5000, 0.3756, 0.7500)  6 V 2.46-2.63
V (0.5000, 0.6244, 0.2500)  6 V 2.46-2.63

---

Number 1: calculated formation energy 8.1 eV/f.u.. Number 2: calculated formation energy 0.3 eV/f.u.. Number 3: calculated formation energy 0.1 eV/f.u.. Number 4: calculated formation energy 0.3 eV/f.u.. Number 5: calculated formation energy 2.3 eV/f.u.. Number 6: calculated formation energy 0.3 eV/f.u.. Number 7: calculated formation energy 0.0 eV/f.u.. Number 8: calculated formation energy 0.2 eV/f.u.. Number 9: calculated formation energy 0.1 eV/f.u.. Number 10: calculated formation energy 2.0 eV/f.u.. Number 11: calculated formation energy 2.5 eV/f.u.. Number 12: calculated formation energy 0.9 eV/f.u.. Number 13: calculated formation energy 0.7 eV/f.u.. Number 14: calculated formation energy 2.0 eV/f.u.. Number 15: calculated formation energy 0.3 eV/f.u.. Number 16: calculated formation energy 0.3 eV/f.u.. Number 17: calculated formation energy 0.2 eV/f.u.. Number 18: calculated formation energy 0.1 eV/f.u.. Number 19: calculated formation energy 0.5 eV/f.u.. Number 20: calculated formation energy 0.1 eV/f.u..